Compound: NdPAuO
Source: OQMD
Functional: PBE
Structure: optimized geometry

The calculation puts the energy above the most stable polymorph in this dataset at 0 meV/atom. The value obtained for the final energy is -6.158 eV per atom.

The space group is P4/nmm (No. 129, origin choice 2) and the conventional cell measures 4.1417, 4.1417 and 8.4192 Å, with angles of 90.00, 90.00 and 90.00 degrees. The asymmetric unit holds Nd at (0.2500, 0.2500, 0.1356), P at (0.2500, 0.2500, 0.6797), Au at (0.2500, 0.7500, 0.5000) and O at (0.2500, 0.7500, 0.0000).